1.
# PBE CoP2W2, relaxed
data_CoP2W2
_chemical_formula_sum 'Co2 P4 W4'
_space_group_name_H-M_alt 'P 4/m b m'
_space_group_IT_number 127
_space_group_name_Hall '-P 4 2ab'
_cell_length_a 6.523
_cell_length_b 6.523
_cell_length_c 3.186
_cell_angle_alpha 90.00
_cell_angle_beta 90.00
_cell_angle_gamma 90.00
loop_
_atom_site_label
_atom_site_type_symbol
_atom_site_fract_x
_atom_site_fract_y
_atom_site_fract_z
_atom_site_occupancy
Co1 Co 0.000 0.000 0.000 1
P1 P 0.151 0.349 0.000 1
W1 W 0.149 0.649 0.500 1
# volume: 13.6 Å³ per atom
# formation energy from the elements: 8.7 kJ/mol of formula units
# excess energy over the best structure of this formula in the dataset: 0.0 meV/atom



2.
# PBE Co2PW4, relaxed
data_Co2PW4
_chemical_formula_sum 'Co4 P2 W8'
_space_group_name_H-M_alt 'I 4/m m m'
_space_group_IT_number 139
_space_group_name_Hall '-I 4 2'
_cell_length_a 4.396
_cell_length_b 4.396
_cell_length_c 11.945
_cell_angle_alpha 90.00
_cell_angle_beta 90.00
_cell_angle_gamma 90.00
loop_
_atom_site_label
_atom_site_type_symbol
_atom_site_fract_x
_atom_site_fract_y
_atom_site_fract_z
_atom_site_occupancy
Co1 Co 0.000 0.000 0.118 1
P1 P 0.000 0.000 0.500 1
W1 W 0.000 0.000 0.308 1
W2 W 0.000 0.500 0.000 1
# volume: 16.5 Å³ per atom
# formation energy from the elements: 725.3 kJ/mol of formula units



3.
# PBE Co2PW, relaxed
data_Co2PW
_chemical_formula_sum 'Co8 P4 W4'
_space_group_name_H-M_alt 'I -4 2 d'
_space_group_IT_number 122
_space_group_name_Hall 'I -4 2bw'
_cell_length_a 3.668
_cell_length_b 3.668
_cell_length_c 15.673
_cell_angle_alpha 90.00
_cell_angle_beta 90.00
_cell_angle_gamma 90.00
loop_
_atom_site_label
_atom_site_type_symbol
_atom_site_fract_x
_atom_site_fract_y
_atom_site_fract_z
_atom_site_occupancy
Co1 Co 0.220 0.250 0.125 1
P1 P 0.000 0.000 0.000 1
W1 W 0.000 0.000 0.500 1
# volume: 13.2 Å³ per atom
# formation energy from the elements: 103.8 kJ/mol of formula units